Entry 1:
Rb2GaSCl6 | GGA-PBE | optimized geometry

Calculated values
Its formation energy (no corrections) is -1028 meV/atom. Its space group is No. 139. The total DFT energy (no corrections) comes out at -3.045 eV per atom. For the calculated volume, the calculation gives 283 Å³ per cell.

a b c (Å): 7.885 7.885 7.195
angles (deg): 56.77 56.77 90.00
Element x y z (fractional)
S 0.500 0.500 0.000
Ga 0.000 0.000 0.000
Rb 0.750 0.250 0.500
Rb 0.250 0.750 0.500
Cl 0.259 0.259 0.481
Cl 0.741 0.741 0.519
Cl 0.213 0.213 0.000
Cl 0.787 0.787 0.000
Cl 0.787 0.213 0.000
Cl 0.213 0.787 0.000

Entry 2:
Rb2GaSbCl6 | GGA-PBE | optimized geometry

Calculated values
Its formation energy (no corrections) is -1301 meV/atom. Its space group is No. 225. The total DFT energy (no corrections) comes out at -3.318 eV per atom. For the calculated volume, the calculation gives 332 Å³ per cell.

a b c (Å): 7.769 7.769 7.768
angles (deg): 60.00 60.00 90.00
Element x y z (fractional)
Sb 0.000 0.000 0.000
Ga 0.500 0.500 0.000
Rb 0.750 0.250 0.500
Rb 0.250 0.750 0.500
Cl 0.243 0.243 0.514
Cl 0.757 0.757 0.486
Cl 0.243 0.243 0.000
Cl 0.757 0.757 0.000
Cl 0.757 0.243 0.000
Cl 0.243 0.757 0.000

Entry 3:
RbSc2GaCl | GGA-PBE | optimized geometry

Calculated values
Its formation energy (no corrections) is 1390 meV/atom. Its space group is No. 123. The total DFT energy (no corrections) comes out at -2.311 eV per atom. For the calculated volume, the calculation gives 175 Å³ per cell.

a b c (Å): 5.646 5.478 5.646
angles (deg): 90.00 90.00 90.00
Element x y z (fractional)
Sc 0.000 0.000 0.500
Sc 0.500 0.000 0.000
Ga 0.000 0.500 0.000
Rb 0.000 0.000 0.000
Cl 0.500 0.500 0.500

Entry 4:
RbGaSiCl2 | GGA-PBE | optimized geometry

Calculated values
Its formation energy (no corrections) is -494 meV/atom. Its space group is No. 123. The total DFT energy (no corrections) comes out at -3.116 eV per atom. For the calculated volume, the calculation gives 149 Å³ per cell.

a b c (Å): 5.483 4.969 5.483
angles (deg): 90.00 90.00 90.00
Element x y z (fractional)
Si 0.000 0.000 0.000
Ga 0.000 0.500 0.000
Rb 0.500 0.500 0.500
Cl 0.000 0.000 0.500
Cl 0.500 0.000 0.000

Entry 5:
Rb2SmGaCl6 | GGA-PBE | optimized geometry

Calculated values
Its formation energy (no corrections) is -1875 meV/atom. Its space group is No. 14. The total DFT energy (no corrections) comes out at -3.951 eV per atom. For the calculated volume, the calculation gives 675 Å³ per cell.

a b c (Å): 7.656 8.032 10.970
angles (deg): 90.00 89.27 90.00
Element x y z (fractional)
Rb 0.022 0.934 0.252
Rb 0.522 0.566 0.752
Rb 0.978 0.066 0.748
Rb 0.478 0.434 0.248
Sm 0.500 0.000 0.500
Sm 0.000 0.500 0.000
Ga 0.500 0.000 0.000
Ga 0.000 0.500 0.500
Cl 0.286 0.688 0.047
Cl 0.786 0.812 0.547
Cl 0.714 0.312 0.953
Cl 0.214 0.188 0.453
Cl 0.316 0.720 0.446
Cl 0.816 0.780 0.946
Cl 0.684 0.280 0.554
Cl 0.184 0.220 0.054
Cl 0.901 0.532 0.237
Cl 0.401 0.968 0.737
Cl 0.099 0.468 0.763
Cl 0.599 0.032 0.263

Entry 6:
RbGa2SnCl8 | GGA-PBE | optimized geometry

Calculated values
Its formation energy (no corrections) is -1121 meV/atom. Its space group is No. 148. The total DFT energy (no corrections) comes out at -3.271 eV per atom. For the calculated volume, the calculation gives 389 Å³ per cell.

a b c (Å): 6.772 6.772 10.542
angles (deg): 71.27 71.27 60.00
Element x y z (fractional)
Rb 0.500 0.500 0.500
Ga 0.247 0.247 0.259
Ga 0.753 0.753 0.741
Sn 0.000 0.000 0.000
Cl 0.171 0.171 0.488
Cl 0.587 0.282 0.182
Cl 0.829 0.829 0.512
Cl 0.949 0.587 0.182
Cl 0.051 0.413 0.818
Cl 0.282 0.949 0.182
Cl 0.718 0.051 0.818
Cl 0.413 0.718 0.818

Entry 7:
Rb2GaSn2Cl7 | GGA-PBE | optimized geometry

Calculated values
Its formation energy (no corrections) is -1229 meV/atom. Its space group is No. 12. The total DFT energy (no corrections) comes out at -3.387 eV per atom. For the calculated volume, the calculation gives 429 Å³ per cell.

a b c (Å): 5.674 5.674 14.647
angles (deg): 79.25 79.25 106.65
Element x y z (fractional)
Rb 0.835 0.835 0.365
Rb 0.165 0.165 0.635
Ga 0.000 0.000 0.000
Sn 0.572 0.572 0.802
Sn 0.428 0.428 0.198
Cl 0.500 0.500 0.000
Cl 0.319 0.319 0.401
Cl 0.681 0.681 0.599
Cl 0.917 0.544 0.182
Cl 0.544 0.917 0.182
Cl 0.456 0.083 0.818
Cl 0.083 0.456 0.818

Entry 8:
Rb2SrGaCl6 | GGA-PBE | optimized geometry

Calculated values
Its formation energy (no corrections) is -1724 meV/atom. Its space group is No. 225. The total DFT energy (no corrections) comes out at -3.497 eV per atom. For the calculated volume, the calculation gives 324 Å³ per cell.

a b c (Å): 7.710 7.710 7.709
angles (deg): 59.99 59.99 90.00
Element x y z (fractional)
Sr 0.000 0.000 0.000
Ga 0.500 0.500 0.000
Rb 0.750 0.250 0.500
Rb 0.250 0.750 0.500
Cl 0.261 0.261 0.478
Cl 0.739 0.739 0.522
Cl 0.261 0.261 0.000
Cl 0.739 0.739 0.000
Cl 0.739 0.261 0.000
Cl 0.261 0.739 0.000